# 1
A plane-wave DFT calculation with GGA-PBE was carried out for crystalline AcSm6Ho5 at its relaxed geometry.

abc: 6.264 10.846 11.977
angles: 90.00 100.04 90.00
Space group C2/m (No. 12)
Symmetry-distinct sites (fractional):
Ac 0.000 0.000 0.000 [2 per cell]
Sm 0.247 0.332 0.745 [8 per cell]
Sm 0.249 0.500 0.255 [4 per cell]
Ho 0.000 0.167 0.500 [4 per cell]
Ho 0.000 0.333 0.000 [4 per cell]
Ho 0.000 0.500 0.500 [2 per cell]

Summary:
**Mass density**: 8.1 g/cm3
**Energy relative to the elements**: 0.030 eV/atom
**Density of states at the Fermi level**: 1.27 states/eV/atom

***

# 2
A plane-wave DFT calculation with GGA-PBE was carried out for crystalline Ac2SmHo at its relaxed geometry.

abc: 3.8135 3.8135 36.4151
angles: 90.00 90.00 120.00
Space group R3m (No. 160, hexagonal axes)
Symmetry-distinct sites (fractional):
Ac 0.0000 0.0000 0.0000 [3 per cell]
Ac 0.0000 0.0000 0.1684 [3 per cell]
Sm 0.0000 0.0000 0.7518 [3 per cell]
Ho 0.0000 0.0000 0.5833 [3 per cell]

Summary:
**Mass density**: 8.4 g/cm3
**Energy above the most stable polymorph in this dataset**: 0.09 eV per formula unit
**Energy relative to the elements**: 0.064 eV/atom
**Density of states at the Fermi level**: 1.55 states/eV/atom

***

# 3
A plane-wave DFT calculation with GGA-PBE was carried out for crystalline AcSm3Ho6 at its relaxed geometry.

abc: 11.474 6.575 9.868
angles: 90.00 113.78 90.00
Space group C2/m (No. 12)
Symmetry-distinct sites (fractional):
Ac 0.000 0.000 0.000 [2 per cell]
Sm 0.000 0.500 0.500 [2 per cell]
Sm 0.067 0.000 0.692 [4 per cell]
Ho 0.137 0.500 0.915 [4 per cell]
Ho 0.187 0.253 0.315 [8 per cell]

Summary:
**Mass density**: 8.1 g/cm3
**Energy above the most stable polymorph in this dataset**: 1.00 eV per formula unit
**Energy relative to the elements**: 0.237 eV/atom
**Density of states at the Fermi level**: 1.75 states/eV/atom

***

# 4
A plane-wave DFT calculation with GGA-PBE was carried out for crystalline Ac2Sm3Ho at its relaxed geometry.

abc: 19.941 5.790 8.537
angles: 90.00 107.33 90.00
Space group C2/m (No. 12)
Symmetry-distinct sites (fractional):
Ac 0.114 0.000 0.073 [4 per cell]
Ac 0.173 0.500 0.428 [4 per cell]
Sm 0.038 0.500 0.733 [4 per cell]
Sm 0.152 0.000 0.704 [4 per cell]
Sm 0.206 0.500 0.948 [4 per cell]
Ho 0.031 0.000 0.357 [4 per cell]

Summary:
**Mass density**: 7.6 g/cm3
**Energy relative to the elements**: 0.237 eV/atom
**Density of states at the Fermi level**: 1.49 states/eV/atom

***

# 5
A plane-wave DFT calculation with GGA-PBE was carried out for crystalline Ac2SmHo2 at its relaxed geometry.

abc: 6.585 7.084 9.631
angles: 108.13 90.06 117.69
Space group P-1 (No. 2)
Symmetry-distinct sites (fractional):
Ac 0.032 0.391 0.150 [2 per cell]
Ac 0.358 0.388 0.651 [2 per cell]
Sm 0.241 0.805 0.552 [2 per cell]
Ho 0.178 0.001 0.247 [2 per cell]
Ho 0.432 0.192 0.950 [2 per cell]

Summary:
**Mass density**: 8.3 g/cm3
**Energy relative to the elements**: 0.069 eV/atom
**Density of states at the Fermi level**: 1.79 states/eV/atom

***

# 6
A plane-wave DFT calculation with GGA-PBE was carried out for crystalline Ac8Sm2Ho at its relaxed geometry.

abc: 5.983 9.086 17.145
angles: 90.00 90.00 90.00
Space group Immm (No. 71)
Symmetry-distinct sites (fractional):
Ac 0.000 0.000 0.159 [4 per cell]
Ac 0.000 0.208 0.358 [8 per cell]
Ac 0.000 0.296 0.000 [4 per cell]
Sm 0.000 0.500 0.200 [4 per cell]
Ho 0.000 0.500 0.500 [2 per cell]

Summary:
**Mass density**: 8.1 g/cm3
**Energy relative to the elements**: 0.130 eV/atom
**Density of states at the Fermi level**: 1.76 states/eV/atom

***

# 7
A plane-wave DFT calculation with GGA-PBE was carried out for crystalline Ac2Sm2Ho3 at its relaxed geometry.

abc: 5.764 24.303 3.570
angles: 90.00 90.00 90.00
Space group Cmmm (No. 65)
Symmetry-distinct sites (fractional):
Ac 0.000 0.077 0.000 [4 per cell]
Sm 0.000 0.349 0.500 [4 per cell]
Ho 0.000 0.218 0.000 [4 per cell]
Ho 0.000 0.500 0.000 [2 per cell]

Summary:
**Mass density**: 8.3 g/cm3
**Energy relative to the elements**: 0.170 eV/atom
**Density of states at the Fermi level**: 1.57 states/eV/atom

***

# 8
A plane-wave DFT calculation with GGA-PBE was carried out for crystalline AcSmHo2 at its relaxed geometry.

abc: 3.727 3.727 10.026
angles: 90.00 90.00 90.00
Space group P4/mmm (No. 123)
Symmetry-distinct sites (fractional):
Ac 0.000 0.000 0.000 [1 per cell]
Sm 0.000 0.000 0.500 [1 per cell]
Ho 0.500 0.500 0.262 [2 per cell]

Summary:
**Mass density**: 8.4 g/cm3
**Energy above the most stable polymorph in this dataset**: 0.00 eV per formula unit
**Energy relative to the elements**: 0.051 eV/atom
**Density of states at the Fermi level**: 1.41 states/eV/atom

***

# 9
A plane-wave DFT calculation with GGA-PBE was carried out for crystalline Ac8Sm4Ho at its relaxed geometry.

abc: 11.8076 11.8076 14.4376
angles: 90.00 90.00 120.00
Space group R-3m (No. 166, hexagonal axes)
Symmetry-distinct sites (fractional):
Ac 0.0000 0.0000 0.2412 [6 per cell]
Ac 0.0114 0.5057 0.7468 [18 per cell]
Sm 0.0000 0.0000 0.0000 [3 per cell]
Sm 0.0000 0.5000 0.0000 [9 per cell]
Ho 0.0000 0.0000 0.5000 [3 per cell]

Summary:
**Mass density**: 7.4 g/cm3
**Energy relative to the elements**: 0.400 eV/atom
**Density of states at the Fermi level**: 1.57 states/eV/atom

***

# 10
A plane-wave DFT calculation with GGA-PBE was carried out for crystalline AcSm6Ho3 at its relaxed geometry.

abc: 11.395 13.308 9.299
angles: 90.00 90.00 90.00
Space group Cmc2_1 (No. 36)
Symmetry-distinct sites (fractional):
Ac 0.000 0.241 0.000 [4 per cell]
Sm 0.000 0.269 0.445 [4 per cell]
Sm 0.000 0.492 0.694 [4 per cell]
Sm 0.191 0.110 0.612 [8 per cell]
Sm 0.245 0.163 0.263 [8 per cell]
Ho 0.000 0.023 0.342 [4 per cell]
Ho 0.218 0.421 0.428 [8 per cell]

Summary:
**Mass density**: 7.6 g/cm3
**Energy above the most stable polymorph in this dataset**: 1.20 eV per formula unit
**Energy relative to the elements**: 0.192 eV/atom
**Density of states at the Fermi level**: 1.44 states/eV/atom

***

# 11
A plane-wave DFT calculation with GGA-PBE was carried out for crystalline AcSm10Ho6 at its relaxed geometry.

abc: 9.8267 9.8267 6.9138
angles: 90.00 90.00 120.00
Space group P-31m (No. 162)
Symmetry-distinct sites (fractional):
Ac 0.0000 0.0000 0.0000 [1 per cell]
Sm 0.0000 0.2823 0.3255 [6 per cell]
Sm 0.3333 0.6667 0.0000 [2 per cell]
Sm 0.3333 0.6667 0.5000 [2 per cell]
Ho 0.0000 0.3728 0.8100 [6 per cell]

Summary:
**Mass density**: 7.8 g/cm3
**Energy relative to the elements**: 0.138 eV/atom
**Density of states at the Fermi level**: 1.56 states/eV/atom

***

# 12
A plane-wave DFT calculation with GGA-PBE was carried out for crystalline AcSm4Ho3 at its relaxed geometry.

abc: 3.759 5.904 24.791
angles: 90.00 90.00 90.00
Space group Immm (No. 71)
Symmetry-distinct sites (fractional):
Ac 0.000 0.000 0.000 [2 per cell]
Sm 0.000 0.500 0.114 [4 per cell]
Sm 0.000 0.500 0.358 [4 per cell]
Ho 0.000 0.000 0.266 [4 per cell]
Ho 0.000 0.000 0.500 [2 per cell]

Summary:
**Mass density**: 8.0 g/cm3
**Energy relative to the elements**: 0.093 eV/atom
**Density of states at the Fermi level**: 1.77 states/eV/atom

***

# 13
A plane-wave DFT calculation with GGA-PBE was carried out for crystalline AcSm4Ho10 at its relaxed geometry.

abc: 12.869 12.869 6.574
angles: 90.00 90.00 90.00
Space group I4/m (No. 87)
Symmetry-distinct sites (fractional):
Ac 0.000 0.000 0.000 [2 per cell]
Sm 0.068 0.824 0.500 [8 per cell]
Ho 0.000 0.500 0.250 [4 per cell]
Ho 0.130 0.294 0.250 [16 per cell]

Summary:
**Mass density**: 7.6 g/cm3
**Energy relative to the elements**: 0.530 eV/atom
**Density of states at the Fermi level**: 1.93 states/eV/atom

***

# 14
A plane-wave DFT calculation with GGA-PBE was carried out for crystalline AcSmHo4 at its relaxed geometry.

abc: 6.442 8.826 8.834
angles: 60.72 76.94 69.14
Space group P-1 (No. 2)
Symmetry-distinct sites (fractional):
Ac 0.059 0.326 0.255 [2 per cell]
Sm 0.077 0.187 0.903 [2 per cell]
Ho 0.261 0.882 0.310 [2 per cell]
Ho 0.292 0.424 0.505 [2 per cell]
Ho 0.331 0.915 0.680 [2 per cell]
Ho 0.484 0.382 0.897 [2 per cell]

Summary:
**Mass density**: 8.4 g/cm3
**Energy above the most stable polymorph in this dataset**: 0.32 eV per formula unit
**Energy relative to the elements**: 0.115 eV/atom
**Density of states at the Fermi level**: 1.50 states/eV/atom

***

# 15
A plane-wave DFT calculation with GGA-PBE was carried out for crystalline AcSm3Ho4 at its relaxed geometry.

abc: 3.485 11.776 13.223
angles: 90.00 90.00 90.00
Space group Immm (No. 71)
Symmetry-distinct sites (fractional):
Ac 0.000 0.000 0.000 [2 per cell]
Sm 0.000 0.000 0.500 [2 per cell]
Sm 0.000 0.500 0.257 [4 per cell]
Ho 0.000 0.254 0.136 [8 per cell]

Summary:
**Mass density**: 8.2 g/cm3
**Energy above the most stable polymorph in this dataset**: 0.98 eV per formula unit
**Energy relative to the elements**: 0.162 eV/atom
**Density of states at the Fermi level**: 1.69 states/eV/atom

***

# 16
A plane-wave DFT calculation with GGA-PBE was carried out for crystalline AcSm15Ho4 at its relaxed geometry.

abc: 5.129 5.129 25.624
angles: 90.00 90.00 90.00
Space group P4/mmm (No. 123)
Symmetry-distinct sites (fractional):
Ac 0.000 0.000 0.000 [1 per cell]
Sm 0.000 0.500 0.105 [4 per cell]
Sm 0.000 0.500 0.303 [4 per cell]
Sm 0.000 0.500 0.500 [2 per cell]
Sm 0.500 0.500 0.000 [1 per cell]
Sm 0.500 0.500 0.205 [2 per cell]
Sm 0.500 0.500 0.401 [2 per cell]
Ho 0.000 0.000 0.204 [2 per cell]
Ho 0.000 0.000 0.401 [2 per cell]

Summary:
**Mass density**: 7.7 g/cm3
**Energy relative to the elements**: 0.023 eV/atom
**Density of states at the Fermi level**: 1.43 states/eV/atom

***

# 17
A plane-wave DFT calculation with GGA-PBE was carried out for crystalline Ac2Sm5Ho4 at its relaxed geometry.

abc: 6.314 8.177 8.185
angles: 107.43 97.25 104.83
Space group P-1 (No. 2)
Symmetry-distinct sites (fractional):
Ac 0.139 0.047 0.231 [2 per cell]
Sm 0.227 0.415 0.046 [2 per cell]
Sm 0.410 0.141 0.685 [2 per cell]
Sm 0.500 0.500 0.500 [1 per cell]
Ho 0.049 0.675 0.409 [2 per cell]
Ho 0.318 0.767 0.862 [2 per cell]

Summary:
**Mass density**: 8.1 g/cm3
**Energy relative to the elements**: 0.041 eV/atom
**Density of states at the Fermi level**: 1.43 states/eV/atom

***

# 18
A plane-wave DFT calculation with GGA-PBE was carried out for crystalline AcSm12Ho5 at its relaxed geometry.

abc: 15.358 15.368 5.112
angles: 90.00 90.00 90.00
Space group Cmmm (No. 65)
Symmetry-distinct sites (fractional):
Ac 0.000 0.000 0.000 [2 per cell]
Sm 0.164 0.334 0.500 [8 per cell]
Sm 0.165 0.500 0.000 [4 per cell]
Sm 0.168 0.169 0.000 [8 per cell]
Sm 0.171 0.000 0.500 [4 per cell]
Ho 0.000 0.171 0.500 [4 per cell]
Ho 0.000 0.334 0.000 [4 per cell]
Ho 0.000 0.500 0.500 [2 per cell]

Summary:
**Mass density**: 7.9 g/cm3
**Energy relative to the elements**: 0.026 eV/atom
**Density of states at the Fermi level**: 1.47 states/eV/atom

***

# 19
A plane-wave DFT calculation with GGA-PBE was carried out for crystalline Ac6Sm5Ho at its relaxed geometry.

abc: 5.475 10.368 16.357
angles: 90.00 90.00 90.00
Space group Immm (No. 71)
Symmetry-distinct sites (fractional):
Ac 0.000 0.248 0.000 [4 per cell]
Ac 0.000 0.251 0.334 [8 per cell]
Sm 0.000 0.000 0.167 [4 per cell]
Sm 0.000 0.000 0.500 [2 per cell]
Sm 0.000 0.500 0.166 [4 per cell]
Ho 0.000 0.500 0.500 [2 per cell]

Summary:
**Mass density**: 8.2 g/cm3
**Energy relative to the elements**: 0.037 eV/atom
**Density of states at the Fermi level**: 1.39 states/eV/atom

***

# 20
A plane-wave DFT calculation with GGA-PBE was carried out for crystalline AcSmHo5 at its relaxed geometry.

abc: 8.936 9.822 11.505
angles: 90.00 110.14 90.00
Space group C2/c (No. 15)
Symmetry-distinct sites (fractional):
Ac 0.250 0.250 0.000 [4 per cell]
Sm 0.000 0.233 0.250 [4 per cell]
Ho 0.000 0.427 0.750 [4 per cell]
Ho 0.128 0.076 0.668 [8 per cell]
Ho 0.168 0.396 0.535 [8 per cell]

Summary:
**Mass density**: 8.4 g/cm3
**Energy relative to the elements**: 0.098 eV/atom
**Density of states at the Fermi level**: 1.57 states/eV/atom

***

# 21
A plane-wave DFT calculation with GGA-PBE was carried out for crystalline AcSmHo3 at its relaxed geometry.

abc: 5.818 19.476 6.063
angles: 90.00 90.00 90.00
Space group Cmc2_1 (No. 36)
Symmetry-distinct sites (fractional):
Ac 0.000 0.146 0.000 [4 per cell]
Sm 0.000 0.357 0.912 [4 per cell]
Ho 0.000 0.044 0.518 [4 per cell]
Ho 0.000 0.249 0.466 [4 per cell]
Ho 0.000 0.457 0.384 [4 per cell]

Summary:
**Mass density**: 8.4 g/cm3
**Energy above the most stable polymorph in this dataset**: 0.00 eV per formula unit
**Energy relative to the elements**: 0.089 eV/atom
**Density of states at the Fermi level**: 1.49 states/eV/atom